Record 1
A geometry-optimized LiLaZnSi2 structure, computed with GGA-PBE.

Cell lengths 4.2530, 4.2530, 10.3580 Å; angles 90.00, 90.00, 90.00 degrees
Space group I-4m2 (No. 119)
Inequivalent atoms, fractional coordinates:
Li  0.0000  0.0000  0.0000 (multiplicity 2)
La  0.0000  0.5000  0.7500 (multiplicity 2)
Zn  0.0000  0.0000  0.5000 (multiplicity 2)
Si  0.0000  0.5000  0.1361 (multiplicity 4)

Summary:
Calculated density = 4.74 g/cm3
Formation energy (no corrections) = -0.53 eV per atom
Calculated total energy = -4.320 eV/atom
Crystal system = tetragonal

Record 2
A geometry-optimized Al3WN structure, computed with GGA-PBE.

Cell lengths 4.0116, 4.0116, 4.0116 Å; angles 90.00, 90.00, 90.00 degrees
Space group Pm-3m (No. 221)
Inequivalent atoms, fractional coordinates:
Al  0.0000  0.0000  0.5000 (multiplicity 3)
W  0.5000  0.5000  0.5000 (multiplicity 1)
N  0.0000  0.0000  0.0000 (multiplicity 1)

Summary:
Calculated density = 7.17 g/cm3
ΔE to the lowest computed polymorph = 0 meV per atom
Formation energy (no corrections) = 0.05 eV per atom
Calculated total energy = -6.453 eV/atom
Crystal system = cubic

Record 3
A geometry-optimized ThVH structure, computed with GGA-PBE.

Cell lengths 4.7993, 15.2200, 5.4000 Å; angles 90.00, 90.00, 90.00 degrees
Space group Pna2_1 (No. 33)
Inequivalent atoms, fractional coordinates:
Th  0.0134  0.0946  0.0000 (multiplicity 4)
Th  0.0264  0.3249  0.4573 (multiplicity 4)
V  0.0015  0.5023  0.2186 (multiplicity 4)
V  0.0251  0.3114  0.9469 (multiplicity 4)
H  0.0246  0.1653  0.4132 (multiplicity 4)
H  0.2329  0.5401  0.9610 (multiplicity 4)

Summary:
Calculated density = 9.56 g/cm3
Calculated total energy = -6.480 eV/atom
Crystal system = orthorhombic

Record 4
A geometry-optimized PrAgBiPt structure, computed with GGA-PBE.

Cell lengths 7.2169, 7.2169, 7.2169 Å; angles 90.00, 90.00, 90.00 degrees
Space group F-43m (No. 216)
Inequivalent atoms, fractional coordinates:
Pr  0.0000  0.0000  0.0000 (multiplicity 4)
Ag  0.2500  0.2500  0.7500 (multiplicity 4)
Bi  0.0000  0.0000  0.5000 (multiplicity 4)
Pt  0.2500  0.2500  0.2500 (multiplicity 4)

Summary:
Calculated density = 11.54 g/cm3
DFT formation energy = -515 meV/atom
Calculated total energy = -4.904 eV/atom
Crystal system = cubic

Record 5
A geometry-optimized SrInFe2Cl8 structure, computed with GGA-PBE.

Cell lengths 6.6135, 6.6135, 9.8897 Å; angles 90.00, 90.00, 120.00 degrees
Space group P-3 (No. 147)
Inequivalent atoms, fractional coordinates:
Sr  0.0000  0.0000  0.0000 (multiplicity 1)
In  0.0000  0.0000  0.5000 (multiplicity 1)
Fe  0.3333  0.6667  0.2646 (multiplicity 2)
Cl  0.0110  0.3396  0.1917 (multiplicity 6)
Cl  0.3333  0.6667  0.4875 (multiplicity 2)

Summary:
Calculated density = 2.65 g/cm3
Formation energy (no corrections) = -1.18 eV per atom
Calculated total energy = -4.192 eV/atom
Crystal system = trigonal

Record 6
A geometry-optimized ZnCdC2 structure, computed with GGA-PBE.

Cell lengths 3.9998, 3.9998, 13.3299 Å; angles 90.00, 90.00, 90.00 degrees
Space group I-42d (No. 122)
Inequivalent atoms, fractional coordinates:
Zn  0.0000  0.0000  0.0000 (multiplicity 4)
Cd  0.0000  0.0000  0.5000 (multiplicity 4)
C  0.1408  0.2500  0.1250 (multiplicity 8)

Summary:
Calculated density = 6.29 g/cm3
ΔE to the lowest computed polymorph = 0 meV per atom
DFT formation energy = 1739 meV/atom
Calculated total energy = -3.420 eV/atom
Crystal system = tetragonal

Record 7
A geometry-optimized Y2ZrHg structure, computed with GGA-PBE.

Cell lengths 3.4807, 3.4807, 31.4525 Å; angles 90.00, 90.00, 120.00 degrees
Space group R3m (No. 160, hexagonal axes)
Inequivalent atoms, fractional coordinates:
Y  0.0000  0.0000  0.0000 (multiplicity 3)
Y  0.0000  0.0000  0.2347 (multiplicity 3)
Zr  0.0000  0.0000  0.7489 (multiplicity 3)
Hg  0.0000  0.0000  0.4900 (multiplicity 3)

Summary:
Calculated density = 7.09 g/cm3
DFT formation energy = -39 meV/atom
Calculated total energy = -5.483 eV/atom
Crystal system = trigonal

Record 8
A geometry-optimized CaTl3 structure, computed with GGA-PBE.

Cell lengths 4.8415, 4.8644, 9.9198 Å; angles 90.00, 90.00, 90.00 degrees
Space group Immm (No. 71)
Inequivalent atoms, fractional coordinates:
Ca  0.0000  0.0000  0.0000 (multiplicity 2)
Tl  0.0000  0.0000  0.5000 (multiplicity 2)
Tl  0.0000  0.5000  0.2503 (multiplicity 4)

Summary:
Calculated density = 9.29 g/cm3
DFT formation energy = -221 meV/atom
Calculated total energy = -2.496 eV/atom
Crystal system = orthorhombic

Record 9
A geometry-optimized ReHg structure, computed with GGA-PBE.

Cell lengths 8.2462, 8.2462, 4.0700 Å; angles 90.00, 90.00, 120.00 degrees
Space group P6_3/mmc (No. 194)
Inequivalent atoms, fractional coordinates:
Re  0.1195  0.5598  0.2500 (multiplicity 6)
Hg  0.1688  0.3375  0.7500 (multiplicity 6)

Summary:
Calculated density = 16.08 g/cm3
ΔE to the lowest computed polymorph = 329 meV per atom
DFT formation energy = 722 meV/atom
Calculated total energy = -5.653 eV/atom
Crystal system = hexagonal

Record 10
A geometry-optimized Sr3CaAg2 structure, computed with GGA-PBE.

Cell lengths 18.6347, 4.5681, 12.9465 Å; angles 90.00, 122.45, 90.00 degrees
Space group C2/m (No. 12)
Inequivalent atoms, fractional coordinates:
Sr  0.0830  0.0000  0.4318 (multiplicity 4)
Sr  0.0827  0.0000  0.9440 (multiplicity 4)
Sr  0.1560  0.5000  0.7424 (multiplicity 4)
Ca  0.1630  0.5000  0.2514 (multiplicity 4)
Ag  0.2313  0.5000  0.0523 (multiplicity 4)
Ag  0.2329  0.5000  0.5531 (multiplicity 4)

Summary:
Calculated density = 3.70 g/cm3
DFT formation energy = -207 meV/atom
Calculated total energy = -2.332 eV/atom
Crystal system = monoclinic

Record 11
A geometry-optimized La3GeH structure, computed with GGA-PBE.

Cell lengths 9.4742, 13.2191, 4.1450 Å; angles 90.00, 90.00, 90.00 degrees
Space group Cmmm (No. 65)
Inequivalent atoms, fractional coordinates:
La  0.0000  0.1733  0.0000 (multiplicity 4)
La  0.1886  0.3812  0.5000 (multiplicity 8)
Ge  0.0000  0.0000  0.5000 (multiplicity 2)
Ge  0.0000  0.5000  0.0000 (multiplicity 2)
H  0.2500  0.2500  0.0000 (multiplicity 4)

Summary:
Calculated density = 6.27 g/cm3
ΔE to the lowest computed polymorph = 87 meV per atom
Calculated total energy = -4.981 eV/atom
Crystal system = orthorhombic

Record 12
A geometry-optimized CaPr2Bi2 structure, computed with GGA-PBE.

Cell lengths 8.6736, 8.6736, 4.4401 Å; angles 90.00, 90.00, 90.00 degrees
Space group P4/mbm (No. 127)
Inequivalent atoms, fractional coordinates:
Ca  0.0000  0.0000  0.0000 (multiplicity 2)
Pr  0.1550  0.3450  0.5000 (multiplicity 4)
Bi  0.1489  0.6489  0.0000 (multiplicity 4)

Summary:
Calculated density = 7.36 g/cm3
DFT formation energy = -820 meV/atom
Calculated total energy = -4.685 eV/atom
Crystal system = tetragonal